*i*
PmCdH | PBE | relaxed

The space group is I4mm (No. 107) and the conventional cell measures 3.254, 3.254 and 11.760 Å, with angles of 90.00, 90.00 and 90.00 degrees. The asymmetric unit holds Pm at (0.000, 0.000, 0.000), Cd at (0.000, 0.000, 0.284) and H at (0.000, 0.000, 0.543).

The value obtained for the calculated density is 6.89 g cm⁻³.

*ii*
PmCdH | PBE | relaxed

The space group is P2_1/m (No. 11) and the conventional cell measures 3.775, 3.764 and 8.293 Å, with angles of 90.00, 90.12 and 90.00 degrees. The asymmetric unit holds Pm at (0.249, 0.250, 0.161), Cd at (0.251, 0.250, 0.590) and H at (0.251, 0.750, 0.999).

The value obtained for the calculated density is 7.28 g cm⁻³.

*iii*
PmCdH | PBE | relaxed

The space group is P-6m2 (No. 187) and the conventional cell measures 3.8527, 3.8527 and 5.0565 Å, with angles of 90.00, 90.00 and 120.00 degrees. The asymmetric unit holds Pm at (0.0000, 0.0000, 0.0000), Cd at (0.3333, 0.6667, 0.5000) and H at (0.6667, 0.3333, 0.0000).

The value obtained for the calculated density is 6.60 g cm⁻³.

Stability summary: most stable *ii*, least stable *i*.

*i*
Pm2CdH | PBE | relaxed

The space group is P4/mmm (No. 123) and the conventional cell measures 3.352, 3.352 and 7.877 Å, with angles of 90.00, 90.00 and 90.00 degrees. The asymmetric unit holds Pm at (0.000, 0.000, 0.209), Cd at (0.500, 0.500, 0.500) and H at (0.500, 0.500, 0.000).

The value obtained for the calculated density is 7.57 g cm⁻³.

*ii*
Pm2CdH | PBE | relaxed

The space group is R3m (No. 160, hexagonal axes) and the conventional cell measures 3.6782, 3.6782 and 24.0274 Å, with angles of 90.00, 90.00 and 120.00 degrees. The asymmetric unit holds Pm at (0.0000, 0.0000, 0.0000), Pm at (0.0000, 0.0000, 0.2159), Cd at (0.0000, 0.0000, 0.4404) and H at (0.0000, 0.0000, 0.6074).

The value obtained for the calculated density is 7.14 g cm⁻³.

Stability summary: most stable *ii*, least stable *i*.

*i*
Pm2CdH | PBE | relaxed

The space group is R-3m (No. 166, hexagonal axes) and the conventional cell measures 3.5557, 3.5557 and 28.0567 Å, with angles of 90.00, 90.00 and 120.00 degrees. The asymmetric unit holds Pm at (0.0000, 0.0000, 0.1161), Cd at (0.0000, 0.0000, 0.0000) and H at (0.0000, 0.0000, 0.5000).

The value obtained for the calculated density is 6.54 g cm⁻³.

*ii*
Pm2CdH | PBE | relaxed

The space group is R-3m (No. 166, hexagonal axes) and the conventional cell measures 3.6799, 3.6799 and 24.0475 Å, with angles of 90.00, 90.00 and 120.00 degrees. The asymmetric unit holds Pm at (0.0000, 0.0000, 0.2259), Cd at (0.0000, 0.0000, 0.0000) and H at (0.0000, 0.0000, 0.5000).

The value obtained for the calculated density is 7.13 g cm⁻³.

Stability summary: most stable *ii*, least stable *i*.

*i*
Pr2CdH | PBE | relaxed

The space group is R-3m (No. 166, hexagonal axes) and the conventional cell measures 3.7361, 3.7361 and 24.4327 Å, with angles of 90.00, 90.00 and 120.00 degrees. The asymmetric unit holds Pr at (0.0000, 0.0000, 0.2266), Cd at (0.0000, 0.0000, 0.0000) and H at (0.0000, 0.0000, 0.5000).

The value obtained for the calculated density is 6.67 g cm⁻³.

*ii*
Pr2CdH | PBE | relaxed

The space group is R3m (No. 160, hexagonal axes) and the conventional cell measures 3.7463, 3.7463 and 24.2838 Å, with angles of 90.00, 90.00 and 120.00 degrees. The asymmetric unit holds Pr at (0.0000, 0.0000, 0.0000), Pr at (0.0000, 0.0000, 0.2144), Cd at (0.0000, 0.0000, 0.4396) and H at (0.0000, 0.0000, 0.6060).

The value obtained for the calculated density is 6.67 g cm⁻³.

*iii*
Pr2CdH | PBE | relaxed

The space group is P4/mmm (No. 123) and the conventional cell measures 3.404, 3.404 and 7.975 Å, with angles of 90.00, 90.00 and 90.00 degrees. The asymmetric unit holds Pr at (0.000, 0.000, 0.211), Cd at (0.500, 0.500, 0.500) and H at (0.500, 0.500, 0.000).

The value obtained for the calculated density is 7.10 g cm⁻³.

Stability summary: most stable *i*, least stable *iii*.

*i*
CdH2Pt4 | PBE | relaxed

The space group is P2/m (No. 10) and the conventional cell measures 4.795, 2.835 and 7.340 Å, with angles of 90.00, 103.10 and 90.00 degrees. The asymmetric unit holds Cd at (0.000, 0.000, 0.000), H at (0.445, 0.500, 0.795), Pt at (0.230, 0.000, 0.677) and Pt at (0.264, 0.500, 0.328).

The value obtained for the calculated density is 15.29 g cm⁻³.

*ii*
CdH2Pt4 | PBE | relaxed

The space group is I4/mmm (No. 139) and the conventional cell measures 4.946, 4.946 and 9.429 Å, with angles of 90.00, 90.00 and 90.00 degrees. The asymmetric unit holds Cd at (0.000, 0.000, 0.000), H at (0.000, 0.000, 0.445), Pt at (0.000, 0.000, 0.283) and Pt at (0.000, 0.500, 0.000).

The value obtained for the calculated density is 12.89 g cm⁻³.

Stability summary: most stable *i*, least stable *ii*.

*i*
Cd2HPt | PBE | relaxed

The space group is C2/c (No. 15) and the conventional cell measures 9.096, 3.606 and 9.050 Å, with angles of 90.00, 116.34 and 90.00 degrees. The asymmetric unit holds Cd at (0.151, 0.249, 0.100), H at (0.000, 0.248, 0.250) and Pt at (0.000, 0.251, 0.750).

The value obtained for the calculated density is 10.51 g cm⁻³.

*ii*
Cd2HPt | PBE | relaxed

The space group is I-42d (No. 122) and the conventional cell measures 6.496, 6.496 and 5.992 Å, with angles of 90.00, 90.00 and 90.00 degrees. The asymmetric unit holds Cd at (0.175, 0.250, 0.125), H at (0.000, 0.000, 0.000) and Pt at (0.000, 0.000, 0.500).

The value obtained for the calculated density is 11.06 g cm⁻³.

Stability summary: most stable *i*, least stable *ii*.

*i*
CdH3Pt | PBE | relaxed

The space group is Pm-3m (No. 221) and the conventional cell measures 3.681, 3.681 and 3.681 Å, with angles of 90.00, 90.00 and 90.00 degrees. The asymmetric unit holds Cd at (0.000, 0.000, 0.000), H at (0.000, 0.500, 0.500) and Pt at (0.500, 0.500, 0.500).

The value obtained for the calculated density is 10.34 g cm⁻³.

*ii*
CdH3Pt | PBE | relaxed

The space group is P2_1 (No. 4) and the conventional cell measures 5.019, 4.842 and 5.289 Å, with angles of 90.00, 118.28 and 90.00 degrees. The asymmetric unit holds Cd at (0.226, 0.000, 0.471), H at (0.281, 0.542, 0.483), H at (0.288, 0.723, 0.003), H at (0.291, 0.234, 0.007) and Pt at (0.413, 0.474, 0.825).

The value obtained for the calculated density is 9.11 g cm⁻³.

Stability summary: most stable *ii*, least stable *i*.

*i*
Cd2HPt2 | PBE | relaxed

The space group is C2/c (No. 15) and the conventional cell measures 9.778, 5.295 and 6.777 Å, with angles of 90.00, 110.26 and 90.00 degrees. The asymmetric unit holds Cd at (0.154, 0.110, 0.133), H at (0.000, 0.449, 0.750) and Pt at (0.118, 0.384, 0.467).

The value obtained for the calculated density is 12.43 g cm⁻³.

*ii*
Cd2HPt2 | PBE | relaxed

The space group is P4/mbm (No. 127) and the conventional cell measures 5.614, 5.614 and 4.931 Å, with angles of 90.00, 90.00 and 90.00 degrees. The asymmetric unit holds Cd at (0.171, 0.329, 0.000), H at (0.000, 0.000, 0.500) and Pt at (0.180, 0.680, 0.500).

The value obtained for the calculated density is 13.16 g cm⁻³.

Stability summary: most stable *i*, least stable *ii*.

*i*
Zr2CdHPt | PBE | relaxed

The space group is P4/mmm (No. 123) and the conventional cell measures 4.282, 4.282 and 4.409 Å, with angles of 90.00, 90.00 and 90.00 degrees. The asymmetric unit holds Zr at (0.000, 0.500, 0.000), Cd at (0.000, 0.000, 0.500), H at (0.000, 0.000, 0.000) and Pt at (0.500, 0.500, 0.500).

The value obtained for the calculated density is 10.08 g cm⁻³.

*ii*
Zr2CdHPt | PBE | relaxed

The space group is P4/mmm (No. 123) and the conventional cell measures 4.456, 4.456 and 4.106 Å, with angles of 90.00, 90.00 and 90.00 degrees. The asymmetric unit holds Zr at (0.000, 0.500, 0.000), Cd at (0.000, 0.000, 0.500), H at (0.500, 0.500, 0.000) and Pt at (0.500, 0.500, 0.500).

The value obtained for the calculated density is 10.00 g cm⁻³.

Stability summary: most stable *ii*, least stable *i*.

*i*
Pu2CdH | PBE | relaxed

The space group is P4/mmm (No. 123) and the conventional cell measures 3.085, 3.085 and 8.230 Å, with angles of 90.00, 90.00 and 90.00 degrees. The asymmetric unit holds Pu at (0.000, 0.000, 0.192), Cd at (0.500, 0.500, 0.500) and H at (0.500, 0.500, 0.000).

The value obtained for the calculated density is 12.75 g cm⁻³.

*ii*
Pu2CdH | PBE | relaxed

The space group is R-3m (No. 166, hexagonal axes) and the conventional cell measures 3.7384, 3.7384 and 17.3732 Å, with angles of 90.00, 90.00 and 120.00 degrees. The asymmetric unit holds Pu at (0.0000, 0.0000, 0.1967), Cd at (0.0000, 0.0000, 0.0000) and H at (0.0000, 0.0000, 0.5000).

The value obtained for the calculated density is 14.25 g cm⁻³.

Stability summary: most stable *i*, least stable *ii*.

*i*
Rb2CdH2 | PBE | relaxed

The space group is I4/mmm (No. 139) and the conventional cell measures 5.687, 5.687 and 12.070 Å, with angles of 90.00, 90.00 and 90.00 degrees. The asymmetric unit holds Rb at (0.000, 0.500, 0.250), Cd at (0.000, 0.000, 0.000) and H at (0.000, 0.000, 0.262).

The value obtained for the calculated density is 2.43 g cm⁻³.

*ii*
Rb2CdH2 | PBE | relaxed

The space group is P4/mbm (No. 127) and the conventional cell measures 8.863, 8.863 and 3.637 Å, with angles of 90.00, 90.00 and 90.00 degrees. The asymmetric unit holds Rb at (0.141, 0.359, 0.000), Cd at (0.000, 0.000, 0.000) and H at (0.146, 0.646, 0.500).

The value obtained for the calculated density is 3.32 g cm⁻³.

*iii*
Rb2CdH2 | PBE | relaxed

The space group is P4/mbm (No. 127) and the conventional cell measures 8.290, 8.290 and 3.767 Å, with angles of 90.00, 90.00 and 90.00 degrees. The asymmetric unit holds Rb at (0.151, 0.349, 0.000), Cd at (0.000, 0.000, 0.500) and H at (0.152, 0.652, 0.500).

The value obtained for the calculated density is 3.66 g cm⁻³.

Stability summary: most stable *iii*, least stable *ii*.

*i*
Rb2TlCdH | PBE | relaxed

The space group is P4/mmm (No. 123) and the conventional cell measures 7.034, 7.034 and 5.551 Å, with angles of 90.00, 90.00 and 90.00 degrees. The asymmetric unit holds Rb at (0.000, 0.500, 0.000), Tl at (0.000, 0.000, 0.500), Cd at (0.000, 0.000, 0.000) and H at (0.500, 0.500, 0.500).

The value obtained for the calculated density is 2.96 g cm⁻³.

*ii*
Rb2TlCdH | PBE | relaxed

The space group is P4/mmm (No. 123) and the conventional cell measures 5.670, 5.670 and 5.306 Å, with angles of 90.00, 90.00 and 90.00 degrees. The asymmetric unit holds Rb at (0.000, 0.500, 0.000), Tl at (0.000, 0.000, 0.500), Cd at (0.500, 0.500, 0.500) and H at (0.000, 0.000, 0.000).

The value obtained for the calculated density is 4.76 g cm⁻³.

Stability summary: most stable *ii*, least stable *i*.